Material: BaZrPt2
Method: DFT, GGA-PBE
State: relaxed

Calculated values
For the energy of formation from the pure elements, the calculation gives -0.669 eV per atom. Its energy above the lowest structure with this stoichiometry is 146.5 meV per atom. For the total magnetic moment, the calculation gives 0.0 μB/cell.

abc: 4.138 4.138 7.657
angles: 74.28 74.28 59.90
Sites, in units of the cell vectors:
Zr1 0.419 0.419 0.743
Pt1 0.024 0.024 0.929
Pt2 0.811 0.811 0.566
Ba1 0.246 0.246 0.262